Arrangement P

Material: BAsAu2I
Method: DFT, GGA-PBE
State: relaxed

a b c (Å): 4.244 4.244 6.830
angles (deg): 90.00 90.00 90.00
Fractional positions:
B1 0.000 0.000 0.000
As1 0.500 0.500 0.500
Au1 0.000 0.500 0.000
Au2 0.500 0.000 0.000
I1 0.000 0.000 0.500

## Properties
calculated volume = 24.6 Å³/atom


Arrangement Q

Material: BAsAu2I
Method: DFT, GGA-PBE
State: relaxed

a b c (Å): 4.503 4.503 4.911
angles (deg): 90.00 90.00 90.00
Fractional positions:
B1 0.000 0.000 0.000
As1 0.000 0.000 0.500
Au1 0.000 0.500 0.000
Au2 0.500 0.000 0.000
I1 0.500 0.500 0.500

## Properties
calculated volume = 19.9 Å³/atom


Stability check: which of them is most stable? arrangement Q.


Arrangement P

Material: BAs2AuSe
Method: DFT, GGA-PBE
State: relaxed

a b c (Å): 4.449 4.449 4.425
angles (deg): 90.00 90.00 90.00
Fractional positions:
B1 0.000 0.000 0.000
As1 0.000 0.500 0.000
As2 0.500 0.000 0.000
Au1 0.500 0.500 0.500
Se1 0.000 0.000 0.500

## Properties
calculated volume = 17.5 Å³/atom


Arrangement Q

Material: BAs2AuSe
Method: DFT, GGA-PBE
State: relaxed

a b c (Å): 5.004 5.004 5.237
angles (deg): 90.00 90.00 90.00
Fractional positions:
B1 0.000 0.000 0.000
As1 0.000 0.500 0.500
As2 0.500 0.000 0.500
Au1 0.500 0.500 0.500
Se1 0.500 0.500 0.000

## Properties
calculated volume = 26.2 Å³/atom


Stability check: which of them is most stable? arrangement P.


Arrangement P

Material: BaAsAu4
Method: DFT, GGA-PBE
State: relaxed

a b c (Å): 5.763 5.763 5.763
angles (deg): 60.00 60.00 60.00
Fractional positions:
Ba1 0.000 0.000 0.000
As1 0.750 0.750 0.750
Au1 0.375 0.375 0.375
Au2 0.375 0.375 0.874
Au3 0.375 0.874 0.375
Au4 0.874 0.375 0.375

## Properties
calculated volume = 22.6 Å³/atom


Arrangement Q

Material: BaAsAu4
Method: DFT, GGA-PBE
State: relaxed

a b c (Å): 8.578 8.578 7.078
angles (deg): 90.00 90.00 144.97
Fractional positions:
Ba1 0.101 0.899 0.750
Ba2 0.899 0.101 0.250
As1 0.387 0.613 0.750
As2 0.613 0.387 0.250
Au1 0.132 0.868 0.250
Au2 0.285 0.715 0.050
Au3 0.285 0.715 0.450
Au4 0.500 0.500 0.000
Au5 0.500 0.500 0.500
Au6 0.715 0.285 0.550
Au7 0.715 0.285 0.950
Au8 0.868 0.132 0.750

## Properties
calculated volume = 24.9 Å³/atom


Stability check: which of them is most stable? arrangement Q.


Arrangement P

Material: Ba3AsAu
Method: DFT, GGA-PBE
State: relaxed

a b c (Å): 9.456 9.456 10.391
angles (deg): 120.54 120.54 31.77
Fractional positions:
Ba1 0.051 0.051 0.381
Ba2 0.264 0.264 0.323
Ba3 0.372 0.372 0.043
Ba4 0.628 0.628 0.957
Ba5 0.736 0.736 0.677
Ba6 0.949 0.949 0.619
As1 0.157 0.157 0.782
As2 0.843 0.843 0.218
Au1 0.373 0.373 0.708
Au2 0.627 0.627 0.292

## Properties
calculated volume = 41.5 Å³/atom


Arrangement Q

Material: Ba3AsAu
Method: DFT, GGA-PBE
State: relaxed

a b c (Å): 6.294 6.294 6.294
angles (deg): 90.00 90.00 90.00
Fractional positions:
Ba1 0.000 0.000 0.500
Ba2 0.000 0.500 0.000
Ba3 0.500 0.000 0.000
As1 0.000 0.000 0.000
Au1 0.500 0.500 0.500

## Properties
calculated volume = 49.9 Å³/atom


Stability check: which of them is most stable? arrangement P.


Arrangement P

Material: Ba4AsAu
Method: DFT, GGA-PBE
State: relaxed

a b c (Å): 8.144 4.759 8.461
angles (deg): 90.00 109.60 90.00
Fractional positions:
Ba1 0.230 0.000 0.252
Ba2 0.232 0.500 0.740
Ba3 0.768 0.500 0.260
Ba4 0.770 0.000 0.748
As1 0.000 0.000 0.500
Au1 0.000 0.500 0.000

## Properties
calculated volume = 51.5 Å³/atom


Arrangement Q

Material: Ba4AsAu
Method: DFT, GGA-PBE
State: relaxed

a b c (Å): 6.988 6.988 6.988
angles (deg): 60.00 60.00 60.00
Fractional positions:
Ba1 0.124 0.124 0.124
Ba2 0.124 0.124 0.628
Ba3 0.124 0.628 0.124
Ba4 0.628 0.124 0.124
As1 0.750 0.750 0.750
Au1 0.500 0.500 0.500

## Properties
calculated volume = 40.2 Å³/atom


Stability check: which of them is most stable? arrangement P.


Arrangement P

Material: BaAsAu3
Method: DFT, GGA-PBE
State: relaxed

a b c (Å): 6.339 6.339 6.339
angles (deg): 135.84 135.84 64.23
Fractional positions:
Ba1 0.000 0.000 0.000
As1 0.635 0.635 0.000
Au1 0.244 0.744 0.500
Au2 0.392 0.392 0.000
Au3 0.744 0.244 0.500

## Properties
calculated volume = 24.4 Å³/atom


Arrangement Q

Material: BaAsAu3
Method: DFT, GGA-PBE
State: relaxed

a b c (Å): 5.143 5.143 5.143
angles (deg): 90.00 90.00 90.00
Fractional positions:
Ba1 0.000 0.000 0.000
As1 0.500 0.500 0.500
Au1 0.000 0.500 0.500
Au2 0.500 0.000 0.500
Au3 0.500 0.500 0.000

## Properties
calculated volume = 27.2 Å³/atom


Stability check: which of them is most stable? arrangement P.


Arrangement P

Material: BaAsAuBr2
Method: DFT, GGA-PBE
State: relaxed

a b c (Å): 5.551 5.551 5.099
angles (deg): 90.00 90.00 90.00
Fractional positions:
Ba1 0.000 0.000 0.000
As1 0.500 0.500 0.000
Au1 0.500 0.500 0.500
Br1 0.000 0.500 0.500
Br2 0.500 0.000 0.500

## Properties
calculated volume = 31.4 Å³/atom


Arrangement Q

Material: BaAsAuBr2
Method: DFT, GGA-PBE
State: relaxed

a b c (Å): 6.130 6.130 7.590
angles (deg): 90.00 90.00 90.00
Fractional positions:
Ba1 0.000 0.000 0.000
As1 0.000 0.000 0.500
Au1 0.500 0.500 0.500
Br1 0.000 0.500 0.000
Br2 0.500 0.000 0.000

## Properties
calculated volume = 57.0 Å³/atom


Stability check: which of them is most stable? arrangement P.


Arrangement P

Material: BaAsAuSe2
Method: DFT, GGA-PBE
State: relaxed

a b c (Å): 6.152 6.152 6.308
angles (deg): 90.00 90.00 90.00
Fractional positions:
Ba1 0.000 0.000 0.000
As1 0.000 0.000 0.500
Au1 0.500 0.500 0.500
Se1 0.000 0.500 0.000
Se2 0.500 0.000 0.000

## Properties
calculated volume = 47.8 Å³/atom


Arrangement Q

Material: BaAsAuSe2
Method: DFT, GGA-PBE
State: relaxed

a b c (Å): 5.385 5.385 4.904
angles (deg): 90.00 90.00 90.00
Fractional positions:
Ba1 0.000 0.000 0.000
As1 0.500 0.500 0.000
Au1 0.500 0.500 0.500
Se1 0.000 0.500 0.500
Se2 0.500 0.000 0.500

## Properties
calculated volume = 28.4 Å³/atom


Stability check: which of them is most stable? arrangement Q.


Arrangement P

Material: BaAs2AuSe
Method: DFT, GGA-PBE
State: relaxed

a b c (Å): 6.418 6.418 6.039
angles (deg): 90.00 90.00 90.00
Fractional positions:
Ba1 0.000 0.000 0.000
As1 0.000 0.500 0.000
As2 0.500 0.000 0.000
Au1 0.500 0.500 0.500
Se1 0.000 0.000 0.500

## Properties
calculated volume = 49.8 Å³/atom


Arrangement Q

Material: BaAs2AuSe
Method: DFT, GGA-PBE
State: relaxed

a b c (Å): 5.088 5.088 5.434
angles (deg): 90.00 90.00 90.00
Fractional positions:
Ba1 0.000 0.000 0.000
As1 0.000 0.500 0.500
As2 0.500 0.000 0.500
Au1 0.500 0.500 0.500
Se1 0.500 0.500 0.000

## Properties
calculated volume = 28.1 Å³/atom


Stability check: which of them is most stable? arrangement Q.


Arrangement P

Material: BeAs3Au
Method: DFT, GGA-PBE
State: relaxed

a b c (Å): 4.500 4.500 4.500
angles (deg): 90.00 90.00 90.00
Fractional positions:
Be1 0.000 0.000 0.000
As1 0.000 0.000 0.500
As2 0.000 0.500 0.000
As3 0.500 0.000 0.000
Au1 0.500 0.500 0.500

## Properties
calculated volume = 18.2 Å³/atom


Arrangement Q

Material: BeAs3Au
Method: DFT, GGA-PBE
State: relaxed

a b c (Å): 5.031 5.031 5.031
angles (deg): 90.00 90.00 90.00
Fractional positions:
Be1 0.000 0.000 0.000
As1 0.000 0.500 0.500
As2 0.500 0.000 0.500
As3 0.500 0.500 0.000
Au1 0.500 0.500 0.500

## Properties
calculated volume = 25.5 Å³/atom


Stability check: which of them is most stable? arrangement P.


Arrangement P

Material: BeAsAu2
Method: DFT, GGA-PBE
State: relaxed

a b c (Å): 4.189 4.189 5.990
angles (deg): 103.36 103.36 41.54
Fractional positions:
Be1 0.000 0.000 0.000
As1 0.500 0.500 0.500
Au1 0.281 0.281 0.798
Au2 0.719 0.719 0.202

## Properties
calculated volume = 16.9 Å³/atom


Arrangement Q

Material: BeAsAu2
Method: DFT, GGA-PBE
State: relaxed

a b c (Å): 3.638 3.713 5.335
angles (deg): 90.00 109.68 90.00
Fractional positions:
Be1 0.000 0.000 0.000
As1 0.500 0.000 0.500
Au1 0.156 0.500 0.782
Au2 0.844 0.500 0.218

## Properties
calculated volume = 17.0 Å³/atom


Arrangement R

Material: BeAsAu2
Method: DFT, GGA-PBE
State: relaxed

a b c (Å): 8.441 8.441 8.441
angles (deg): 20.63 20.63 20.63
Fractional positions:
Be1 0.000 0.000 0.000
As1 0.500 0.500 0.500
Au1 0.264 0.264 0.264
Au2 0.736 0.736 0.736

## Properties
calculated volume = 16.3 Å³/atom


Stability check: which of them is most stable? arrangement P.


Arrangement P

Material: BeAsAu2
Method: DFT, GGA-PBE
State: relaxed

a b c (Å): 5.478 5.478 3.096
angles (deg): 105.92 105.92 119.30
Fractional positions:
Be1 0.000 0.000 0.000
As1 0.500 0.500 0.000
Au1 0.000 0.500 0.000
Au2 0.500 0.000 0.000

## Properties
calculated volume = 17.0 Å³/atom


Arrangement Q

Material: BeAsAu2
Method: DFT, GGA-PBE
State: relaxed

a b c (Å): 2.842 2.842 8.094
angles (deg): 90.00 90.00 90.00
Fractional positions:
Be1 0.000 0.000 0.000
As1 0.500 0.500 0.214
Au1 0.000 0.000 0.529
Au2 0.500 0.500 0.818

## Properties
calculated volume = 16.3 Å³/atom


Arrangement R

Material: BeAsAu2
Method: DFT, GGA-PBE
State: relaxed

a b c (Å): 8.680 8.680 8.680
angles (deg): 152.10 152.10 39.87
Fractional positions:
Be1 0.000 0.000 0.000
Be2 0.750 0.250 0.500
As1 0.250 0.750 0.500
As2 0.500 0.500 0.000
Au1 0.105 0.625 0.980
Au2 0.375 0.355 0.480
Au3 0.645 0.125 0.020
Au4 0.875 0.895 0.520

## Properties
calculated volume = 17.9 Å³/atom


Arrangement S

Material: BeAsAu2
Method: DFT, GGA-PBE
State: relaxed

a b c (Å): 6.103 6.103 6.103
angles (deg): 152.12 141.19 48.46
Fractional positions:
Be1 0.000 0.000 0.000
As1 0.500 0.500 0.000
Au1 0.179 0.679 0.500
Au2 0.821 0.321 0.500

## Properties
calculated volume = 16.6 Å³/atom


Stability check: which of them is most stable? arrangement S.